# 1
# Zr2BeGePb

Crystalline Zr2BeGePb at its relaxed geometry (PBE, the Alexandria database).

## Properties
Spin magnetization (μB per atom): 0.004
Calculated density (Mg/m³): 6.09
Space group: P4/mmm, No. 123
D(E_F) (states/eV per atom): 1.06

Structure (POSCAR):
```
Zr2BeGePb
1.0
-1.374 -3.987 -3.478
0.953 -2.938 2.992
-5.151 0.185 1.822
Zr Be Pb Ge
2 1 1 1
Direct
0.000 0.000 0.500
0.500 0.000 0.000
0.000 0.500 0.000
0.000 0.000 0.000
0.500 0.500 0.500
```

# 2
# Sc4AgPd5

Crystalline Sc4AgPd5 at its relaxed geometry (PBE, the Alexandria database).

## Properties
Spin magnetization (μB per atom): 0.000
Calculated density (Mg/m³): 7.66
Space group: P4/mmm, No. 123
D(E_F) (states/eV per atom): 0.46

Structure (POSCAR):
```
Sc4AgPd5
1.0
3.319 0.000 0.000
0.000 3.319 0.000
0.000 0.000 16.138
Sc Pd Ag
4 5 1
Direct
0.000 0.000 0.189
0.000 0.000 0.397
0.000 0.000 0.811
0.000 0.000 0.603
0.500 0.500 0.900
0.500 0.500 0.500
0.500 0.500 0.706
0.500 0.500 0.294
0.500 0.500 0.100
0.000 0.000 0.000
```

Calculated values (meV per atom) of energy of formation from the pure elements for the records, taken in order: 1025 -787.
Calculated values (eV for the cell shown) of calculated total energy for the records, taken in order: -24.021 -62.008.